The following is a PBE-GGA calculation of a relaxed TmWC2 crystal, from Alexandria via LeMat-Bulk.

Properties
DFT formation energy ... -0.248 eV/atom
Calculated volume ... 49 Å³/cell
DOS at the Fermi energy ... 0.378 states/eV per atom

a b c (Å): 3.2100 3.2100 5.7875
angles (deg): 73.90 73.90 60.00
Atoms (fractional coordinates):
W1 0.0000 0.0000 0.0000
Tm1 0.5000 0.5000 0.5000
C1 0.2603 0.2603 0.2190
C2 0.7397 0.7397 0.7810


The following is a PBE-GGA calculation of a relaxed TmWC2 crystal, from Alexandria via LeMat-Bulk.

Properties
DFT formation energy ... -0.096 eV/atom
Calculated volume ... 228 Å³/cell
DOS at the Fermi energy ... 0.467 states/eV per atom

a b c (Å): 3.3879 5.0644 13.2601
angles (deg): 90.00 90.00 90.00
Atoms (fractional coordinates):
W1 0.2500 0.2143 0.8289
W2 0.2500 0.7143 0.6711
W3 0.7500 0.2857 0.3289
W4 0.7500 0.7857 0.1711
C1 0.2500 0.8327 0.8144
C2 0.2500 0.7499 0.0794
C3 0.7500 0.2501 0.9206
C4 0.2500 0.2499 0.4206
C5 0.7500 0.1673 0.1856
C6 0.7500 0.7501 0.5794
C7 0.2500 0.3327 0.6856
C8 0.7500 0.6673 0.3144
Tm1 0.2500 0.7597 0.4334
Tm2 0.7500 0.7403 0.9334
Tm3 0.7500 0.2403 0.5666
Tm4 0.2500 0.2597 0.0666


The following is a PBE-GGA calculation of a relaxed Tm2WC crystal, from Alexandria via LeMat-Bulk.

Properties
DFT formation energy ... 0.618 eV/atom
Calculated volume ... 80 Å³/cell
DOS at the Fermi energy ... 1.044 states/eV per atom

a b c (Å): 3.2782 3.2782 8.7602
angles (deg): 79.22 79.22 60.00
Each line ends with the local moment (μB).
Atoms (fractional coordinates):
Tm1 0.8864 0.8864 0.3407  0.03
Tm2 0.1136 0.1136 0.6593  0.03
W1 0.0000 0.0000 0.0000  0.24
C1 0.5000 0.5000 0.5000  0.01


| no. | total DFT energy (no corrections) (eV per atom) |
| --- | --- |
| 1 | -9.2165 |
| 2 | -9.0642 |
| 3 | -7.1621 |